Rb2Ca2Rh: relaxed, GGA-PBE.

abc: 11.0412 11.0412 11.0412
angles: 157.65 157.65 31.81
Fractional positions:
1 Rb 0.2500 0.7500 0.5000
2 Rb 0.7500 0.2500 0.5000
3 Ca 0.0729 0.0729 0.0000
4 Ca 0.9271 0.9271 0.0000
5 Rh 0.5000 0.5000 0.0000

Output
Uncorrected energy, eV/atom: -1.92
DFT formation energy, meV/atom: 736
Mass density, g/cm3: 3.023
Symmetry: I4/mmm, No. 139
Crystal system: tetragonal
N(E_F), states/eV/cell: 4.753

---

RbCaRh3: relaxed, GGA-PBE.

abc: 4.9381 4.9381 4.9381
angles: 90.00 90.00 90.00
Fractional positions:
1 Rb 0.0000 0.0000 0.0000
2 Ca 0.5000 0.5000 0.5000
3 Rh 0.0000 0.0000 0.5000
4 Rh 0.0000 0.5000 0.0000
5 Rh 0.5000 0.0000 0.0000

Output
Uncorrected energy, eV/atom: -3.43
DFT formation energy, meV/atom: 1579
Mass density, g/cm3: 5.989
Symmetry: Pm-3m, No. 221
Crystal system: cubic
N(E_F), states/eV/cell: 5.981